An optimized crystal structure of PmSm2YHo5, computed with PBE.

calculated total energy: -41.1 eV per formula unit
space group: I4/mcm, No. 140
ΔE_f: 0.272 eV/atom

a b c (Å): 8.745 8.745 9.838
angles (deg): 116.39 116.39 90.00
Positions (direct):
1 Ho 0.000 0.000 0.000
2 Y 0.750 0.250 0.500
3 Ho 0.500 0.500 0.000
4 Y 0.250 0.750 0.500
5 Sm 0.116 0.384 0.000
6 Sm 0.384 0.884 0.000
7 Sm 0.616 0.116 0.000
8 Pm 0.750 0.750 0.500
9 Ho 0.154 0.073 0.727
10 Pm 0.250 0.250 0.500
11 Ho 0.427 0.346 0.273
12 Ho 0.073 0.573 0.727
13 Ho 0.846 0.927 0.273
14 Ho 0.346 0.846 0.273
15 Sm 0.884 0.616 0.000
16 Ho 0.927 0.427 0.273
17 Ho 0.654 0.154 0.727
18 Ho 0.573 0.654 0.727

***

An optimized crystal structure of Co2AsOs, computed with PBE.

calculated total energy: -28.9 eV per formula unit
space group: C2/m, No. 12
ΔE_f: 0.293 eV/atom

a b c (Å): 4.434 4.434 4.356
angles (deg): 83.20 83.20 37.09
Each line ends with the local moment (μB).
Positions (direct):
1 Co 0.490 0.490 0.511  0.67
2 Co 0.010 0.010 0.989  0.67
3 As 0.250 0.250 0.250  -0.01
4 Os 0.750 0.750 0.750  0.01

***

An optimized crystal structure of SrAl2Zn, computed with PBE.

calculated total energy: -9.6 eV per formula unit
space group: C2/m, No. 12
ΔE_f: 0.204 eV/atom

a b c (Å): 6.121 5.904 3.021
angles (deg): 82.85 75.31 116.97
Positions (direct):
1 Sr 0.000 0.500 0.500
2 Al 0.000 0.000 0.000
3 Zn 0.500 0.500 0.000
4 Al 0.500 0.000 0.500

***

An optimized crystal structure of K2SeF4, computed with PBE.

ΔE_f (raw): -2.175 eV per atom
calculated total energy: -28.4 eV per formula unit
space group: I4/mmm, No. 139

a b c (Å): 6.188 6.188 5.708
angles (deg): 122.82 122.82 90.00
Positions (direct):
1 Se 0.500 0.500 0.000
2 F 0.731 0.731 0.000
3 F 0.269 0.731 0.000
4 F 0.269 0.269 0.000
5 F 0.731 0.269 0.000
6 K 0.250 0.750 0.500
7 K 0.750 0.250 0.500